Entry from the Alexandria database: an optimized crystal structure of Cd2PF (GGA-PBEsol).

Lattice parameters (Å, degrees): 5.297 5.297 12.492 90.00 90.00 90.00
Space group I-42d (No. 122)
Unique sites:
Cd 0.241 0.250 0.125 [8 per cell]
P 0.000 0.000 0.500 [4 per cell]
F 0.000 0.000 0.000 [4 per cell]

* DFT total energy: -3.225 eV/atom
* Fermi-level density of states: 0.08 states/eV per atom
* calculated density: 5.2 g cm⁻³
* crystal system: tetragonal
* formation energy without anion corrections: -0.696 eV/atom